[1]
# PBE Ba4BiPtI2, optimized geometry
data_Ba4BiPtI2
_chemical_formula_sum 'Ba4 Bi1 Pt1 I2'
_space_group_name_H-M_alt 'P 1'
_space_group_IT_number 1
_space_group_name_Hall 'P 1'
_cell_length_a 8.5440
_cell_length_b 4.9034
_cell_length_c 8.9821
_cell_angle_alpha 90.00
_cell_angle_beta 108.17
_cell_angle_gamma 90.00
loop_
_atom_site_label
_atom_site_type_symbol
_atom_site_fract_x
_atom_site_fract_y
_atom_site_fract_z
_atom_site_occupancy
Ba1 Ba 0.2254 0.0000 0.2101 1
Ba2 Ba 0.2380 0.5000 0.7937 1
Ba3 Ba 0.7620 0.5000 0.2063 1
Ba4 Ba 0.7746 0.0000 0.7899 1
Bi1 Bi 0.5000 0.0000 0.0000 1
Pt1 Pt 0.0000 0.5000 0.0000 1
I1 I 0.0000 0.0000 0.5000 1
I2 I 0.5000 0.5000 0.5000 1
# ΔE_f (raw) = -1.188 eV per atom

---

[2]
# PBE NdGa2Co, optimized geometry
data_NdGa2Co
_chemical_formula_sum 'Nd3 Ga6 Co3'
_space_group_name_H-M_alt 'P 1'
_space_group_IT_number 1
_space_group_name_Hall 'P 1'
_cell_length_a 4.1028
_cell_length_b 4.1028
_cell_length_c 15.8880
_cell_angle_alpha 90.00
_cell_angle_beta 90.00
_cell_angle_gamma 120.00
loop_
_atom_site_label
_atom_site_type_symbol
_atom_site_fract_x
_atom_site_fract_y
_atom_site_fract_z
_atom_site_occupancy
Nd1 Nd 0.0000 0.0000 0.0000 1
Nd2 Nd 0.3333 0.6667 0.6667 1
Nd3 Nd 0.6667 0.3333 0.3333 1
Ga1 Ga 0.0000 0.0000 0.2089 1
Ga2 Ga 0.0000 0.0000 0.7911 1
Ga3 Ga 0.3333 0.6667 0.4577 1
Ga4 Ga 0.3333 0.6667 0.8756 1
Ga5 Ga 0.6667 0.3333 0.1244 1
Ga6 Ga 0.6667 0.3333 0.5423 1
Co1 Co 0.0000 0.0000 0.5000 1
Co2 Co 0.3333 0.6667 0.1667 1
Co3 Co 0.6667 0.3333 0.8333 1
# calculated formation energy = -0.4541 eV/atom

---

[3]
# PBE Ho12Bi3O5, optimized geometry
data_Ho12Bi3O5
_chemical_formula_sum 'Ho48 Bi12 O20'
_space_group_name_H-M_alt 'P 1'
_space_group_IT_number 1
_space_group_name_Hall 'P 1'
_cell_length_a 13.5470
_cell_length_b 13.5470
_cell_length_c 13.5470
_cell_angle_alpha 109.47
_cell_angle_beta 109.47
_cell_angle_gamma 109.47
loop_
_atom_site_label
_atom_site_type_symbol
_atom_site_fract_x
_atom_site_fract_y
_atom_site_fract_z
_atom_site_occupancy
Ho1 Ho 0.0024 0.1923 0.1028 1
Ho2 Ho 0.0024 0.3101 0.8996 1
Ho3 Ho 0.0895 0.6923 0.6899 1
Ho4 Ho 0.0895 0.8972 0.3996 1
Ho5 Ho 0.1004 0.6028 0.4105 1
Ho6 Ho 0.1004 0.9976 0.6899 1
Ho7 Ho 0.1028 0.0024 0.1923 1
Ho8 Ho 0.1028 0.6004 0.9105 1
Ho9 Ho 0.1899 0.1923 0.5895 1
Ho10 Ho 0.1899 0.4976 0.6004 1
Ho11 Ho 0.1923 0.1028 0.0024 1
Ho12 Ho 0.1923 0.5895 0.1899 1
Ho13 Ho 0.3077 0.3101 0.9105 1
Ho14 Ho 0.3077 0.4976 0.3972 1
Ho15 Ho 0.3101 0.8996 0.0024 1
Ho16 Ho 0.3101 0.9105 0.3077 1
Ho17 Ho 0.3972 0.3077 0.4976 1
Ho18 Ho 0.3972 0.5895 0.8996 1
Ho19 Ho 0.3996 0.0895 0.8972 1
Ho20 Ho 0.3996 0.8101 0.5024 1
Ho21 Ho 0.4105 0.1004 0.6028 1
Ho22 Ho 0.4105 0.8101 0.8077 1
Ho23 Ho 0.4976 0.3972 0.3077 1
Ho24 Ho 0.4976 0.6004 0.1899 1
Ho25 Ho 0.5024 0.3996 0.8101 1
Ho26 Ho 0.5024 0.6028 0.6923 1
Ho27 Ho 0.5895 0.1899 0.1923 1
Ho28 Ho 0.5895 0.8996 0.3972 1
Ho29 Ho 0.6004 0.1899 0.4976 1
Ho30 Ho 0.6004 0.9105 0.1028 1
Ho31 Ho 0.6028 0.4105 0.1004 1
Ho32 Ho 0.6028 0.6923 0.5024 1
Ho33 Ho 0.6899 0.0895 0.6923 1
Ho34 Ho 0.6899 0.1004 0.9976 1
Ho35 Ho 0.6923 0.5024 0.6028 1
Ho36 Ho 0.6923 0.6899 0.0895 1
Ho37 Ho 0.8077 0.4105 0.8101 1
Ho38 Ho 0.8077 0.8972 0.9976 1
Ho39 Ho 0.8101 0.5024 0.3996 1
Ho40 Ho 0.8101 0.8077 0.4105 1
Ho41 Ho 0.8972 0.3996 0.0895 1
Ho42 Ho 0.8972 0.9976 0.8077 1
Ho43 Ho 0.8996 0.0024 0.3101 1
Ho44 Ho 0.8996 0.3972 0.5895 1
Ho45 Ho 0.9105 0.1028 0.6004 1
Ho46 Ho 0.9105 0.3077 0.3101 1
Ho47 Ho 0.9976 0.6899 0.1004 1
Ho48 Ho 0.9976 0.8077 0.8972 1
Bi1 Bi 0.1250 0.2500 0.3750 1
Bi2 Bi 0.1250 0.3750 0.7500 1
Bi3 Bi 0.2500 0.3750 0.1250 1
Bi4 Bi 0.2500 0.8750 0.6250 1
Bi5 Bi 0.3750 0.1250 0.2500 1
Bi6 Bi 0.3750 0.7500 0.1250 1
Bi7 Bi 0.6250 0.2500 0.8750 1
Bi8 Bi 0.6250 0.8750 0.7500 1
Bi9 Bi 0.7500 0.1250 0.3750 1
Bi10 Bi 0.7500 0.6250 0.8750 1
Bi11 Bi 0.8750 0.6250 0.2500 1
Bi12 Bi 0.8750 0.7500 0.6250 1
O1 O 0.0000 0.0000 0.0000 1
O2 O 0.0000 0.0000 0.5000 1
O3 O 0.0000 0.5000 0.0000 1
O4 O 0.0000 0.5000 0.5000 1
O5 O 0.1250 0.7500 0.8750 1
O6 O 0.1250 0.8750 0.2500 1
O7 O 0.2500 0.1250 0.8750 1
O8 O 0.2500 0.6250 0.3750 1
O9 O 0.3750 0.2500 0.6250 1
O10 O 0.3750 0.6250 0.7500 1
O11 O 0.5000 0.0000 0.0000 1
O12 O 0.5000 0.0000 0.5000 1
O13 O 0.5000 0.5000 0.0000 1
O14 O 0.5000 0.5000 0.5000 1
O15 O 0.6250 0.3750 0.2500 1
O16 O 0.6250 0.7500 0.3750 1
O17 O 0.7500 0.3750 0.6250 1
O18 O 0.7500 0.8750 0.1250 1
O19 O 0.8750 0.1250 0.7500 1
O20 O 0.8750 0.2500 0.1250 1
# ΔE_f (raw) = -1.608 eV per atom

---

[4]
# PBE Cs4Tl3In2, optimized geometry
data_Cs4Tl3In2
_chemical_formula_sum 'Cs4 Tl3 In2'
_space_group_name_H-M_alt 'P 1'
_space_group_IT_number 1
_space_group_name_Hall 'P 1'
_cell_length_a 10.2796
_cell_length_b 10.2796
_cell_length_c 9.2808
_cell_angle_alpha 104.12
_cell_angle_beta 104.12
_cell_angle_gamma 28.35
loop_
_atom_site_label
_atom_site_type_symbol
_atom_site_fract_x
_atom_site_fract_y
_atom_site_fract_z
_atom_site_occupancy
Cs1 Cs 0.0813 0.0813 0.3930 1
Cs2 Cs 0.2597 0.2597 0.8033 1
Cs3 Cs 0.7403 0.7403 0.1967 1
Cs4 Cs 0.9187 0.9187 0.6070 1
Tl1 Tl 0.4128 0.4128 0.2540 1
Tl2 Tl 0.5000 0.5000 0.0000 1
Tl3 Tl 0.5872 0.5872 0.7460 1
In1 In 0.0889 0.0889 0.9565 1
In2 In 0.9111 0.9111 0.0435 1
# calculated formation energy = -0.0696 eV/atom

---

[5]
# PBE Ti2Mo2W3, optimized geometry
data_Ti2Mo2W3
_chemical_formula_sum 'Ti4 Mo4 W6'
_space_group_name_H-M_alt 'P 1'
_space_group_IT_number 1
_space_group_name_Hall 'P 1'
_cell_length_a 9.5436
_cell_length_b 4.4516
_cell_length_c 5.2922
_cell_angle_alpha 90.00
_cell_angle_beta 96.61
_cell_angle_gamma 90.00
loop_
_atom_site_label
_atom_site_type_symbol
_atom_site_fract_x
_atom_site_fract_y
_atom_site_fract_z
_atom_site_occupancy
Ti1 Ti 0.0732 0.0000 0.2803 1
Ti2 Ti 0.4268 0.5000 0.7197 1
Ti3 Ti 0.5732 0.5000 0.2803 1
Ti4 Ti 0.9268 0.0000 0.7197 1
Mo1 Mo 0.1400 0.5000 0.5761 1
Mo2 Mo 0.3600 0.0000 0.4239 1
Mo3 Mo 0.6400 0.0000 0.5761 1
Mo4 Mo 0.8600 0.5000 0.4239 1
W1 W 0.0000 0.5000 0.0000 1
W2 W 0.2180 0.0000 0.8479 1
W3 W 0.2820 0.5000 0.1521 1
W4 W 0.5000 0.0000 0.0000 1
W5 W 0.7180 0.5000 0.8479 1
W6 W 0.7820 0.0000 0.1521 1
# calculated formation energy = -0.1223 eV/atom
# energy above the lowest structure with this stoichiometry = 0.12 eV per formula unit

---

[6]
# PBE CaCoAgP, optimized geometry
data_CaCoAgP
_chemical_formula_sum 'Ca2 Co2 Ag2 P2'
_space_group_name_H-M_alt 'P 1'
_space_group_IT_number 1
_space_group_name_Hall 'P 1'
_cell_length_a 3.7955
_cell_length_b 3.7955
_cell_length_c 10.4129
_cell_angle_alpha 90.00
_cell_angle_beta 90.00
_cell_angle_gamma 90.00
loop_
_atom_site_label
_atom_site_type_symbol
_atom_site_fract_x
_atom_site_fract_y
_atom_site_fract_z
_atom_site_occupancy
Ca1 Ca 0.2500 0.2500 0.2414 1
Ca2 Ca 0.7500 0.7500 0.7586 1
Co1 Co 0.2500 0.7500 0.0000 1
Co2 Co 0.7500 0.2500 0.0000 1
Ag1 Ag 0.2500 0.7500 0.5000 1
Ag2 Ag 0.7500 0.2500 0.5000 1
P1 P 0.2500 0.2500 0.8857 1
P2 P 0.7500 0.7500 0.1143 1
# calculated formation energy = -0.6020 eV/atom